Here is crystalline NaCrAg2F6 at its relaxed geometry from Alexandria. Energies are from GGA+U.

## Properties
E_tot: -93.25 eV/cell

Unit cell a=5.781 b=5.892 c=8.213 alpha=90.00 beta=89.96 gamma=90.00
Each line ends with the local moment (μB).
Fractional coordinates of all 20 atoms:
Cr: 0.000 0.500 0.000  2.94
Cr: 0.500 0.000 0.500  2.94
Na: 0.000 0.500 0.500  0.00
Na: 0.500 0.000 0.000  0.00
F: 0.236 0.195 0.452  -0.01
F: 0.186 0.236 0.061  -0.01
F: 0.764 0.805 0.548  -0.01
F: 0.314 0.736 0.439  -0.01
F: 0.736 0.305 0.952  -0.01
F: 0.396 0.963 0.726  -0.02
F: 0.264 0.695 0.048  -0.01
F: 0.104 0.463 0.774  -0.02
F: 0.896 0.537 0.226  -0.02
F: 0.686 0.264 0.561  -0.01
F: 0.814 0.764 0.939  -0.01
F: 0.604 0.037 0.274  -0.02
Ag: 0.013 0.956 0.250  -0.07
Ag: 0.513 0.544 0.750  -0.07
Ag: 0.987 0.044 0.750  -0.07
Ag: 0.487 0.456 0.250  -0.07